# 1
6
Lattice="-1.3157 2.1516 -1.5415 0.6675 -1.3961 -2.5183 -7.6849 -4.4079 0.4066" Properties=species:S:1:pos:R:3 comment="Al3FeRh2 (GGA-PBE, optimized geometry)" dos_ef_per_ev_cell=3.025 magmom_total_mub_per_fu=0.011 e_form_ev_per_atom=-0.856 pbc="T T T"
Rh -1.6318 -0.3724 -1.9607
Rh -6.7013 -3.2801 -1.6925
Al 0.0000 0.0000 0.0000
Al -2.6740 -1.5337 0.1415
Al -5.0110 -2.8742 0.2651
Fe -4.1665 -1.8262 -1.8266

---

# 2
10
Lattice="3.5973 0.0000 0.0000 0.0000 3.5973 0.0000 0.0000 0.0000 18.0672" Properties=species:S:1:pos:R:3 comment="SrEr4Zn5 (GGA-PBE, optimized geometry)" dos_ef_per_ev_cell=8.665 magmom_total_mub_per_fu=0.000 e_form_ev_per_atom=-0.308 pbc="T T T"
Er 0.0000 0.0000 10.7632
Er 0.0000 0.0000 14.2442
Er 0.0000 0.0000 7.3041
Er 0.0000 0.0000 3.8230
Zn 1.7986 1.7986 9.0336
Zn 1.7986 1.7986 15.8604
Zn 1.7986 1.7986 2.2068
Zn 1.7986 1.7986 5.5480
Zn 1.7986 1.7986 12.5192
Sr 0.0000 0.0000 0.0000

---

# 3
5
Lattice="-3.9425 1.0912 -2.5437 -2.7520 -1.0729 3.8052 0.2954 4.5676 1.5015" Properties=species:S:1:pos:R:3 comment="GaPbF3 (GGA-PBE, optimized geometry)" dos_ef_per_ev_cell=0.000 magmom_total_mub_per_fu=0.000 polymorph_energy_mev_per_atom=0 pbc="T T T"
F 0.1477 2.2838 0.7507
F -1.3760 -0.5364 1.9026
F -1.9713 0.5456 -1.2718
Ga -3.1995 2.2929 1.3815
Pb 0.0000 0.0000 0.0000

---

# 4
16
Lattice="-5.2626 -0.0624 2.1129 3.4074 -1.7647 4.1759 1.6126 7.6243 -0.4859" Properties=species:S:1:pos:R:3 comment="SrPaBO5 (GGA-PBE, optimized geometry)" dos_ef_per_ev_cell=0.000 magmom_total_mub_per_fu=0.000 pbc="T T T"
O -3.2846 5.5049 1.9313
O 3.0421 0.2923 3.8715
O 3.0921 5.3312 2.7341
O 0.9284 5.3593 3.9550
O -2.6375 2.4857 1.8055
O -1.3703 1.8402 3.8429
O 2.3949 3.3114 3.9973
O -1.1709 0.4378 1.8478
O -3.3346 0.4659 3.0688
O 1.1277 3.9569 1.9600
Pa 0.0000 0.0000 0.0000
Pa 0.8063 3.8121 -0.2429
B 1.8864 4.4896 3.1618
B -2.1290 1.3075 2.6411
Sr -1.0216 5.0605 2.4698
Sr 0.7790 0.7366 3.3330

---

# 5
4
Lattice="-2.8837 -3.8304 -2.7651 2.6441 -4.0810 -2.6434 -0.2773 -5.1810 1.9271" Properties=species:S:1:pos:R:3 comment="PrGdYIn (GGA-PBE, optimized geometry)" dos_ef_per_ev_cell=6.093 magmom_total_mub_per_fu=8.342 e_form_ev_per_atom=-0.173 pbc="T T T"
Pr -0.3877 -9.8194 -2.6111
Gd -0.2585 -6.5462 -1.7407
Y -0.1292 -3.2731 -0.8704
In 0.0000 0.0000 0.0000

---

# 6
5
Lattice="5.1926 0.0000 0.0000 0.0000 4.7108 0.0000 0.0000 0.0000 5.1926" Properties=species:S:1:pos:R:3 comment="Nb2SiSnAs (GGA-PBE, optimized geometry)" dos_ef_per_ev_cell=5.658 magmom_total_mub_per_fu=0.000 pbc="T T T"
Sn 0.0000 0.0000 0.0000
Nb 2.5963 0.0000 0.0000
Nb 0.0000 0.0000 2.5963
Si 0.0000 2.3554 0.0000
As 2.5963 2.3554 2.5963

---

# 7
8
Lattice="-1.2878 1.2553 -1.7607 -3.0215 0.0718 2.2613 1.6285 4.5213 2.0323" Properties=species:S:1:pos:R:3 comment="BC3 (GGA-PBE, optimized geometry)" dos_ef_per_ev_cell=2.075 magmom_total_mub_per_fu=0.000 e_form_ev_per_atom=0.320 polymorph_energy_mev_per_atom=80 pbc="T T T"
C -0.2577 1.1977 1.0424
C -2.1253 2.9826 1.8822
C -2.1960 2.3588 3.2880
C -1.2279 5.1499 2.7709
C 0.4082 3.3706 2.1045
C -0.9410 4.0281 1.7613
B 1.5943 4.5115 2.0503
B -1.7742 1.8051 0.7859

---

# 8
5
Lattice="5.6477 0.0000 0.0000 0.0000 4.4625 0.0000 0.0000 0.0000 5.6477" Properties=species:S:1:pos:R:3 comment="SrCaCu2F (GGA-PBE, optimized geometry)" dos_ef_per_ev_cell=1.776 magmom_total_mub_per_fu=0.000 pbc="T T T"
Cu 0.0000 0.0000 2.8238
Cu 2.8238 0.0000 0.0000
Sr 0.0000 0.0000 0.0000
F 0.0000 2.2313 0.0000
Ca 2.8238 2.2313 2.8238

---

Number 1: VASP energy -6.588 eV/atom. Number 2: VASP energy -2.938 eV/atom. Number 3: VASP energy -4.320 eV/atom. Number 4: VASP energy -8.349 eV/atom. Number 5: VASP energy -7.189 eV/atom. Number 6: VASP energy -5.187 eV/atom. Number 7: VASP energy -8.267 eV/atom. Number 8: VASP energy -3.333 eV/atom.